No. 1
# FeWS2Cl (PBE-GGA, optimized geometry)
data_FeWS2Cl
_chemical_formula_sum 'Fe1 W1 S2 Cl1'
_cell_length_a 4.664
_cell_length_b 4.664
_cell_length_c 4.869
_cell_angle_alpha 90.00
_cell_angle_beta 90.00
_cell_angle_gamma 90.00
_space_group_name_H-M_alt 'P 4/m m m'
_space_group_IT_number 123
_space_group_name_Hall '-P 4 2'
loop_
_atom_site_label
_atom_site_type_symbol
_atom_site_fract_x
_atom_site_fract_y
_atom_site_fract_z
Fe1 Fe 0.000 0.000 0.000
W1 W 0.500 0.500 0.500
S1 S 0.000 0.500 0.500
Cl1 Cl 0.500 0.500 0.000
# * energy above the lowest structure with this stoichiometry: 0.0 meV/atom
# * raw formation energy: 0.51 eV/atom



No. 2
# HoB2C2 (PBE-GGA, optimized geometry)
data_HoB2C2
_chemical_formula_sum 'Ho2 B4 C4'
_cell_length_a 5.346
_cell_length_b 5.346
_cell_length_c 3.537
_cell_angle_alpha 90.00
_cell_angle_beta 90.00
_cell_angle_gamma 90.00
_space_group_name_H-M_alt 'P 4/m b m'
_space_group_IT_number 127
_space_group_name_Hall '-P 4 2ab'
loop_
_atom_site_label
_atom_site_type_symbol
_atom_site_fract_x
_atom_site_fract_y
_atom_site_fract_z
Ho1 Ho 0.000 0.000 0.000
B1 B 0.137 0.363 0.500
C1 C 0.162 0.662 0.500
# * E_tot: -7.725 eV per atom



No. 3
# TbNd3Sb3 (PBE-GGA, optimized geometry)
data_TbNd3Sb3
_chemical_formula_sum 'Tb4 Nd12 Sb12'
_cell_length_a 9.449
_cell_length_b 9.449
_cell_length_c 9.449
_cell_angle_alpha 90.00
_cell_angle_beta 90.00
_cell_angle_gamma 90.00
_space_group_name_H-M_alt 'P 21 3'
_space_group_IT_number 198
_space_group_name_Hall 'P 2ac 2ab 3'
loop_
_atom_site_label
_atom_site_type_symbol
_atom_site_fract_x
_atom_site_fract_y
_atom_site_fract_z
Tb1 Tb 0.072 0.428 0.572
Nd1 Nd 0.068 0.568 0.932
Nd2 Nd 0.178 0.178 0.178
Nd3 Nd 0.179 0.821 0.321
Sb1 Sb 0.001 0.745 0.628
# * energy above the lowest structure with this stoichiometry: 0.0 meV/atom
# * raw formation energy: -1.05 eV/atom



No. 4
# TbPmSnPb (PBE-GGA, optimized geometry)
data_TbPmSnPb
_chemical_formula_sum 'Tb4 Pm4 Sn4 Pb4'
_cell_length_a 7.736
_cell_length_b 7.736
_cell_length_c 7.736
_cell_angle_alpha 90.00
_cell_angle_beta 90.00
_cell_angle_gamma 90.00
_space_group_name_H-M_alt 'F -4 3 m'
_space_group_IT_number 216
_space_group_name_Hall 'F -4 2 3'
loop_
_atom_site_label
_atom_site_type_symbol
_atom_site_fract_x
_atom_site_fract_y
_atom_site_fract_z
Tb1 Tb 0.000 0.000 0.000
Pm1 Pm 0.000 0.000 0.500
Sn1 Sn 0.250 0.250 0.750
Pb1 Pb 0.250 0.250 0.250
# * E_tot: -4.761 eV per atom



No. 5
# Li3Zr2MoN6 (PBE-GGA, optimized geometry)
data_Li3Zr2MoN6
_chemical_formula_sum 'Li6 Zr4 Mo2 N12'
_cell_length_a 5.505
_cell_length_b 9.552
_cell_length_c 5.368
_cell_angle_alpha 90.00
_cell_angle_beta 109.43
_cell_angle_gamma 90.00
_space_group_name_H-M_alt 'C 1 2/m 1'
_space_group_IT_number 12
loop_
_space_group_symop_operation_xyz
'x,y,z'
'-x,-y,-z'
'-x,y,-z'
'x,-y,z'
'x+1/2,y+1/2,z'
'-x+1/2,-y+1/2,-z'
'-x+1/2,y+1/2,-z'
'x+1/2,-y+1/2,z'
loop_
_atom_site_label
_atom_site_type_symbol
_atom_site_fract_x
_atom_site_fract_y
_atom_site_fract_z
Li1 Li 0.000 0.000 0.000
Li2 Li 0.000 0.345 0.000
Zr1 Zr 0.000 0.167 0.500
Mo1 Mo 0.000 0.500 0.500
N1 N 0.230 0.343 0.723
N2 N 0.243 0.500 0.276
# * raw formation energy: -0.78 eV/atom



No. 6
# KNi2GeSb (PBE-GGA, optimized geometry)
data_KNi2GeSb
_chemical_formula_sum 'K1 Ni2 Ge1 Sb1'
_cell_length_a 4.837
_cell_length_b 4.837
_cell_length_c 5.459
_cell_angle_alpha 90.00
_cell_angle_beta 90.00
_cell_angle_gamma 90.00
_space_group_name_H-M_alt 'P 4/m m m'
_space_group_IT_number 123
_space_group_name_Hall '-P 4 2'
loop_
_atom_site_label
_atom_site_type_symbol
_atom_site_fract_x
_atom_site_fract_y
_atom_site_fract_z
K1 K 0.000 0.000 0.000
Ni1 Ni 0.000 0.500 0.500
Ge1 Ge 0.500 0.500 0.000
Sb1 Sb 0.500 0.500 0.500
# * raw formation energy: 0.53 eV/atom